No. 1
# Na2GeS3O7

Na2GeS3O7 after structural relaxation (GGA-PBE, the Alexandria database).

Lattice parameters (Å, degrees): 6.8755 7.9773 8.7943 88.37 67.39 88.02
With the nearest neighbours (Å) after each atom.
Atoms (fractional coordinates):
Na: 0.1591 0.4369 0.3016  6 O 2.31-2.54
Na: 0.1980 0.8500 0.3998  4 O 2.31-2.45
Na: 0.8020 0.1500 0.6002  4 O 2.31-2.45
Na: 0.8409 0.5631 0.6984  6 O 2.31-2.54
Ge: 0.1353 0.9012 0.8532  1 O 1.97
Ge: 0.8647 0.0988 0.1468  1 O 1.97
S: 0.0569 0.2091 0.8702  1 O 1.53
S: 0.4322 0.7180 0.6430  2 O 1.48-1.65
S: 0.4482 0.0504 0.9204  1 S 1.94
S: 0.5518 0.9496 0.0796  1 S 1.94
S: 0.5678 0.2820 0.3570  2 O 1.48-1.65
S: 0.9431 0.7909 0.1298  1 O 1.53
O: 0.0892 0.7241 0.2134  1 S 1.53
O: 0.1090 0.1821 0.1833  1 O 1.41
O: 0.1502 0.1229 0.3208  1 O 1.41
O: 0.1887 0.5836 0.5189  1 O 1.44
O: 0.2954 0.5572 0.6299  1 O 1.44
O: 0.4947 0.8188 0.4885  1 S 1.48
O: 0.4986 0.5210 0.0690  1 O 1.26
O: 0.5014 0.4790 0.9310  1 O 1.26
O: 0.5053 0.1812 0.5115  1 S 1.48
O: 0.7046 0.4428 0.3701  1 O 1.44
O: 0.8113 0.4164 0.4811  1 O 1.44
O: 0.8498 0.8771 0.6792  1 O 1.41
O: 0.8910 0.8179 0.8167  1 O 1.41
O: 0.9108 0.2759 0.7866  1 S 1.53

Values from the calculation:
uncorrected energy = -4.746 eV per atom
raw formation energy = -0.57 eV per atom
total magnetic moment = 0.07 μB/atom

---

No. 2
# NaGeS2O8

NaGeS2O8 after structural relaxation (GGA-PBE, the Alexandria database).

Lattice parameters (Å, degrees): 4.8722 4.8722 7.8075 90.00 90.00 120.00
With the nearest neighbours (Å) after each atom.
Atoms (fractional coordinates):
Na: 0.0000 0.0000 0.0000  12 O 2.88-3.06
Ge: 0.0000 0.0000 0.5000  6 O 2.10
S: 0.3333 0.6667 0.7336  4 O 1.46-1.51
S: 0.6667 0.3333 0.2664  4 O 1.46-1.51
O: 0.0573 0.3621 0.6686  1 S 1.51
O: 0.3047 0.9427 0.6686  1 S 1.51
O: 0.3333 0.6667 0.9206  1 S 1.46
O: 0.3621 0.3047 0.3314  1 S 1.51
O: 0.6379 0.6953 0.6686  1 S 1.51
O: 0.6667 0.3333 0.0794  1 S 1.46
O: 0.6953 0.0573 0.3314  1 S 1.51
O: 0.9427 0.6379 0.3314  1 S 1.51

Values from the calculation:
uncorrected energy = -5.831 eV per atom
raw formation energy = -1.34 eV per atom
total magnetic moment = 0.09 μB/atom

---

No. 3
# NaGeSO2

NaGeSO2 after structural relaxation (GGA-PBE, the Alexandria database).

Lattice parameters (Å, degrees): 3.6552 3.6552 8.9990 90.00 90.00 90.00
With the nearest neighbours (Å) after each atom.
Atoms (fractional coordinates):
Na: 0.0000 0.0000 0.0000  4 S 2.58
Ge: 0.0000 0.0000 0.5000  4 O 1.83
S: 0.5000 0.5000 0.0000  4 Na 2.58
O: 0.0000 0.5000 0.5000  2 Ge 1.83
O: 0.5000 0.0000 0.5000  2 Ge 1.83

Values from the calculation:
uncorrected energy = -4.475 eV per atom
raw formation energy = -0.48 eV per atom
total magnetic moment = 0.19 μB/atom

---

No. 4
# Na2GeSbO4

Na2GeSbO4 after structural relaxation (GGA-PBE, the Alexandria database).

Lattice parameters (Å, degrees): 5.3964 5.3964 5.3964 110.55 110.55 107.33
With the nearest neighbours (Å) after each atom.
Atoms (fractional coordinates):
Na: 0.0000 0.0000 0.0000  4 O 2.42
Na: 0.7500 0.2500 0.5000  4 O 2.51
Ge: 0.2500 0.7500 0.5000  4 O 1.80
Sb: 0.5000 0.5000 0.0000  4 O 2.29
O: 0.2441 0.4211 0.5153  1 Ge 1.80
O: 0.2711 0.7559 0.1769  1 Ge 1.80
O: 0.5789 0.0942 0.8231  1 Ge 1.80
O: 0.9058 0.7289 0.4847  1 Ge 1.80

Values from the calculation:
uncorrected energy = -5.308 eV per atom
raw formation energy = -1.41 eV per atom
total magnetic moment = 0.13 μB/atom

---

No. 5
# NaGe2SbO6

NaGe2SbO6 after structural relaxation (GGA-PBE, the Alexandria database).

Lattice parameters (Å, degrees): 7.1891 7.1891 5.6499 101.52 101.52 82.90
With the nearest neighbours (Å) after each atom.
Atoms (fractional coordinates):
Na: 0.0930 0.9070 0.7500  6 O 2.32-2.45
Na: 0.9070 0.0930 0.2500  6 O 2.32-2.45
Ge: 0.1791 0.3740 0.7609  4 O 1.74-1.81
Ge: 0.3740 0.1791 0.2609  4 O 1.74-1.81
Ge: 0.6260 0.8209 0.7391  4 O 1.74-1.81
Ge: 0.8209 0.6260 0.2391  4 O 1.74-1.81
Sb: 0.2819 0.7181 0.2500  4 O 2.05-2.22
Sb: 0.7181 0.2819 0.7500  4 O 2.05-2.22
O: 0.0145 0.7727 0.3380  1 Ge 1.78
O: 0.1243 0.6136 0.8764  1 Ge 1.74
O: 0.2273 0.9855 0.1620  1 Ge 1.78
O: 0.2803 0.3596 0.4897  2 Ge 1.80-1.81
O: 0.3596 0.2803 0.9897  2 Ge 1.80-1.81
O: 0.3864 0.8757 0.6236  1 Ge 1.74
O: 0.6136 0.1243 0.3764  1 Ge 1.74
O: 0.6404 0.7197 0.0103  2 Ge 1.80-1.81
O: 0.7197 0.6404 0.5103  2 Ge 1.80-1.81
O: 0.7727 0.0145 0.8380  1 Ge 1.78
O: 0.8757 0.3864 0.1236  1 Ge 1.74
O: 0.9855 0.2273 0.6620  1 Ge 1.78

Values from the calculation:
uncorrected energy = -6.060 eV per atom
raw formation energy = -1.62 eV per atom
total magnetic moment = 0.00 μB/atom

---

No. 6
# NaGeSbO6

NaGeSbO6 after structural relaxation (GGA-PBE, the Alexandria database).

Lattice parameters (Å, degrees): 5.2137 5.2137 10.1474 90.00 90.00 120.00
With the nearest neighbours (Å) after each atom.
Atoms (fractional coordinates):
Na: 0.0000 0.0000 0.0000  6 O 2.40
Na: 0.0000 0.0000 0.5000  6 O 2.40
Ge: 0.3333 0.6667 0.2500  6 O 1.92
Ge: 0.6667 0.3333 0.7500  6 O 1.92
Sb: 0.3333 0.6667 0.7500  6 O 2.02
Sb: 0.6667 0.3333 0.2500  6 O 2.02
O: 0.0144 0.3693 0.1463  1 Ge 1.92, 1 Sb 2.02
O: 0.0144 0.6452 0.3537  1 Ge 1.92, 1 Sb 2.02
O: 0.3548 0.3693 0.3537  1 Ge 1.92, 1 Sb 2.02
O: 0.3548 0.9856 0.1463  1 Ge 1.92, 1 Sb 2.02
O: 0.3693 0.0144 0.6463  1 Ge 1.92, 1 Sb 2.02
O: 0.3693 0.3548 0.8537  1 Ge 1.92, 1 Sb 2.02
O: 0.6307 0.6452 0.1463  1 Ge 1.92, 1 Sb 2.02
O: 0.6307 0.9856 0.3537  1 Ge 1.92, 1 Sb 2.02
O: 0.6452 0.0144 0.8537  1 Ge 1.92, 1 Sb 2.02
O: 0.6452 0.6307 0.6463  1 Ge 1.92, 1 Sb 2.02
O: 0.9856 0.3548 0.6463  1 Ge 1.92, 1 Sb 2.02
O: 0.9856 0.6307 0.8537  1 Ge 1.92, 1 Sb 2.02

Values from the calculation:
uncorrected energy = -5.575 eV per atom
raw formation energy = -1.15 eV per atom
total magnetic moment = 0.22 μB/atom

---

No. 7
# NaScGeO4

NaScGeO4 after structural relaxation (GGA-PBE, the Alexandria database).

Lattice parameters (Å, degrees): 5.5133 5.7744 6.8064 90.00 113.44 90.00
With the nearest neighbours (Å) after each atom.
Atoms (fractional coordinates):
Na: 0.1370 0.2500 0.4414  2 O 2.22-2.24
Na: 0.8630 0.7500 0.5586  2 O 2.22-2.24
Sc: 0.3169 0.2500 0.9768  6 O 2.10-2.28
Sc: 0.6831 0.7500 0.0232  6 O 2.10-2.28
Ge: 0.2440 0.7500 0.1699  4 O 1.76-1.80
Ge: 0.7560 0.2500 0.8301  4 O 1.76-1.80
O: 0.0137 0.2500 0.0890  1 Ge 1.77
O: 0.0437 0.7500 0.3160  1 Ge 1.76
O: 0.4805 0.5263 0.1899  1 Ge 1.80
O: 0.4805 0.9737 0.1899  1 Ge 1.80
O: 0.5195 0.0263 0.8101  1 Ge 1.80
O: 0.5195 0.4737 0.8101  1 Ge 1.80
O: 0.9563 0.2500 0.6840  1 Ge 1.76
O: 0.9863 0.7500 0.9110  1 Ge 1.77

Values from the calculation:
uncorrected energy = -6.869 eV per atom
raw formation energy = -2.28 eV per atom
total magnetic moment = 0.00 μB/atom

---

No. 8
# NaSc4Ge3O12

NaSc4Ge3O12 after structural relaxation (GGA-PBE, the Alexandria database).

Lattice parameters (Å, degrees): 6.7300 6.7300 6.7300 109.47 109.47 109.47
With the nearest neighbours (Å) after each atom.
Atoms (fractional coordinates):
Na: 0.0000 0.0000 0.0000  12 O 2.85
Sc: 0.0000 0.0000 0.5000  6 O 2.12
Sc: 0.0000 0.5000 0.0000  6 O 2.12
Sc: 0.5000 0.0000 0.0000  6 O 2.12
Sc: 0.5000 0.5000 0.5000  6 O 2.12
Ge: 0.0000 0.5000 0.5000  4 O 1.89
Ge: 0.5000 0.0000 0.5000  4 O 1.89
Ge: 0.5000 0.5000 0.0000  4 O 1.89
O: 0.1565 0.3251 0.8314  1 Ge 1.89
O: 0.1686 0.4937 0.3251  1 Ge 1.89
O: 0.1686 0.8435 0.6749  1 Ge 1.89
O: 0.3251 0.1686 0.4937  1 Ge 1.89
O: 0.3251 0.8314 0.1565  1 Ge 1.89
O: 0.4937 0.3251 0.1686  1 Ge 1.89
O: 0.5063 0.6749 0.8314  1 Ge 1.89
O: 0.6749 0.1686 0.8435  1 Ge 1.89
O: 0.6749 0.8314 0.5063  1 Ge 1.89
O: 0.8314 0.1565 0.3251  1 Ge 1.89
O: 0.8314 0.5063 0.6749  1 Ge 1.89
O: 0.8435 0.6749 0.1686  1 Ge 1.89

Values from the calculation:
uncorrected energy = -7.357 eV per atom
raw formation energy = -2.36 eV per atom
total magnetic moment = 0.00 μB/atom